Record 1
Here is crystalline AlSi4As at its relaxed geometry from Alexandria via LeMat-Bulk. Energies are from PBE.

The structure in POSCAR format:
```
AlSi4As
1.0
0.0000 3.6364 3.6364
3.6364 0.0000 3.6364
3.6364 3.6364 0.0000
Si Al As
4 1 1
direct
0.6249 0.6249 0.6249
0.6249 0.6249 0.1253
0.6249 0.1253 0.6249
0.1253 0.6249 0.6249
0.2500 0.2500 0.2500
0.0000 0.0000 0.0000
```

Computed properties:
**Total DFT energy (no corrections)**: -4.5173 eV/atom
**Crystal system**: cubic
**Size of the total moment**: 0.000 μB/atom
**E_form (uncorrected)**: 497 meV per atom

=====

Record 2
Here is crystalline NbMo2P2 at its relaxed geometry from Alexandria via LeMat-Bulk. Energies are from PBE.

The structure in POSCAR format:
```
NbMo2P2
1.0
6.8521 0.0000 0.0000
0.0000 6.8521 0.0000
0.0000 0.0000 3.1302
Mo P Nb
4 4 2
direct
0.3553 0.1447 0.5000
0.1447 0.6447 0.5000
0.6447 0.8553 0.5000
0.8553 0.3553 0.5000
0.6503 0.1503 0.0000
0.8497 0.6503 0.0000
0.3497 0.8497 0.0000
0.1503 0.3497 0.0000
0.5000 0.5000 0.0000
0.0000 0.0000 0.0000
```

Computed properties:
**Total DFT energy (no corrections)**: -8.9153 eV/atom
**Crystal system**: tetragonal
**Formation energy from the elements**: -0.405 eV per atom
**Size of the total moment**: 0.000 μB/atom

=====

Record 3
Here is crystalline MnOsW2 at its relaxed geometry from Alexandria via LeMat-Bulk. Energies are from PBE.

The structure in POSCAR format:
```
MnOsW2
1.0
4.3986 0.0000 0.0000
0.0000 2.7532 -0.0754
0.0000 0.6508 4.8478
Mn Os W
1 1 2
direct
0.0000 0.6008 0.4679
0.5000 0.6447 0.7714
0.5000 0.2407 0.2818
0.0000 0.0138 0.9789
```

Computed properties:
**Total DFT energy (no corrections)**: -11.4107 eV/atom
**Energy relative to the lowest polymorph listed for this composition**: 5.6 kJ/mol of atoms
**Crystal system**: monoclinic
**Formation energy from the elements**: 0.166 eV per atom
**Size of the total moment**: 0.350 μB/atom

=====

Record 4
Here is crystalline Tb6NiSe3S2 at its relaxed geometry from Alexandria via LeMat-Bulk. Energies are from PBE.

The structure in POSCAR format:
```
Tb6NiSe3S2
1.0
-0.3781 3.8160 0.9203
-1.2116 -2.0159 7.8614
8.9645 -0.8874 -1.0869
Ni Se S Tb
1 3 2 6
direct
0.5000 0.0000 0.0000
0.8300 0.1690 0.6600
0.5000 0.5000 0.0000
0.1700 0.8310 0.3400
0.8318 0.6644 0.6635
0.1682 0.3356 0.3365
0.3304 0.4282 0.6608
0.9977 0.7710 0.9955
0.0023 0.2290 0.0045
0.6696 0.5718 0.3392
0.3394 0.9093 0.6789
0.6606 0.0907 0.3211
```

Computed properties:
**Total DFT energy (no corrections)**: -5.9898 eV/atom
**Crystal system**: monoclinic
**Size of the total moment**: 0.000 μB/atom
**E_form (uncorrected)**: -1634 meV per atom

=====

Record 5
Here is crystalline LiCa2CoIr at its relaxed geometry from Alexandria via LeMat-Bulk. Energies are from PBE.

The structure in POSCAR format:
```
LiCa2CoIr
1.0
5.0473 0.0000 0.0000
0.0000 3.9009 0.0000
0.0000 0.0000 5.0473
Ca Co Ir Li
2 1 1 1
direct
0.0000 0.0000 0.5000
0.5000 0.0000 0.0000
0.0000 0.5000 0.0000
0.5000 0.5000 0.5000
0.0000 0.0000 0.0000
```

Computed properties:
**Total DFT energy (no corrections)**: -3.6385 eV/atom
**Crystal system**: tetragonal
**Formation energy from the elements**: 0.738 eV per atom
**Size of the total moment**: 0.157 μB/atom

=====

Record 6
Here is crystalline CaTb6Nd5 at its relaxed geometry from Alexandria via LeMat-Bulk. Energies are from PBE.

The structure in POSCAR format:
```
CaTb6Nd5
1.0
0.3318 4.9672 -3.8523
-3.2325 -5.2255 -5.3064
-7.6780 1.0605 2.4158
Nd Ca Tb
5 1 6
direct
0.5000 0.1698 0.8302
0.5000 0.5000 0.5000
0.0000 0.6628 0.3372
0.5000 0.8302 0.1698
0.0000 0.3372 0.6628
0.0000 0.0000 0.0000
0.2538 0.4230 0.0847
0.7449 0.2522 0.2522
0.7462 0.9153 0.5770
0.2538 0.0847 0.4230
0.7462 0.5770 0.9153
0.2551 0.7478 0.7478
```

Computed properties:
**Total DFT energy (no corrections)**: -4.4302 eV/atom
**Crystal system**: monoclinic
**Formation energy from the elements**: 0.038 eV per atom
**Size of the total moment**: 0.000 μB/atom

=====

Record 7
Here is crystalline ZrTi2Co at its relaxed geometry from Alexandria via LeMat-Bulk. Energies are from PBE.

The structure in POSCAR format:
```
ZrTi2Co
1.0
3.0627 0.0000 0.0000
0.0000 3.0627 0.0000
0.0000 0.0000 7.0176
Ti Co Zr
2 1 1
direct
0.0000 0.0000 0.2039
0.0000 0.0000 0.7961
0.5000 0.5000 0.0000
0.5000 0.5000 0.5000
```

Computed properties:
**Total DFT energy (no corrections)**: -8.0246 eV/atom
**Energy relative to the lowest polymorph listed for this composition**: 5.5 kJ/mol of atoms
**Crystal system**: tetragonal
**Formation energy from the elements**: -0.164 eV per atom
**Size of the total moment**: 0.001 μB/atom

=====

Record 8
Here is crystalline Cr2Ni2As at its relaxed geometry from Alexandria via LeMat-Bulk. Energies are from PBE.

The structure in POSCAR format:
```
Cr2Ni2As
1.0
-4.4680 2.9707 -2.3977
-2.9762 -5.0222 -0.6762
-1.5303 0.4482 3.4069
Cr As Ni
4 2 4
direct
0.8664 0.3664 0.5000
0.1336 0.6336 0.5000
0.6336 0.8664 0.5000
0.3664 0.1336 0.5000
0.5000 0.5000 0.0000
0.0000 0.0000 0.0000
0.3562 0.8562 0.0000
0.6438 0.1438 0.0000
0.8562 0.6438 0.0000
0.1438 0.3562 0.0000
```

Computed properties:
**Total DFT energy (no corrections)**: -6.8535 eV/atom
**Crystal system**: tetragonal
**Formation energy from the elements**: 0.238 eV per atom
**Size of the total moment**: 0.306 μB/atom

=====

Record 9
Here is crystalline Ho2Bi3 at its relaxed geometry from Alexandria via LeMat-Bulk. Energies are from PBE.

The structure in POSCAR format:
```
Ho2Bi3
1.0
-3.4409 -0.6820 2.0110
-0.3204 -3.2199 2.4246
2.6346 4.9077 10.2373
Bi Ho
3 2
direct
0.2077 0.2077 0.3769
0.0000 0.0000 0.0000
0.7923 0.7923 0.6231
0.6078 0.6078 0.1765
0.3922 0.3922 0.8235
```

Computed properties:
**Total DFT energy (no corrections)**: -4.5183 eV/atom
**Crystal system**: trigonal
**Formation energy from the elements**: -0.359 eV per atom
**Size of the total moment**: 0.000 μB/atom

=====

Record 10
Here is crystalline MgAgAs2 at its relaxed geometry from Alexandria via LeMat-Bulk. Energies are from PBE.

The structure in POSCAR format:
```
MgAgAs2
1.0
9.7265 -0.1026 -0.0601
9.2773 2.9235 -0.0601
9.2773 1.3771 2.5795
Mg As Ag
1 2 1
direct
0.4992 0.4992 0.4992
0.0056 0.0056 0.0056
0.2428 0.2428 0.2428
0.7524 0.7524 0.7524
```

Computed properties:
**Total DFT energy (no corrections)**: -3.2857 eV/atom
**Crystal system**: trigonal
**Formation energy from the elements**: 0.151 eV per atom
**Size of the total moment**: 0.000 μB/atom

=====

Record 11
Here is crystalline TaPbAu at its relaxed geometry from Alexandria via LeMat-Bulk. Energies are from PBE.

The structure in POSCAR format:
```
TaPbAu
1.0
-0.7813 -7.1901 -0.5014
-0.2549 -6.2356 3.6894
-1.6249 6.9304 -1.3744
Ta Pb Au
1 1 1
direct
0.6546 0.6546 0.0000
0.3262 0.3262 0.0000
0.0192 0.0192 0.0000
```

Computed properties:
**Total DFT energy (no corrections)**: -5.9812 eV/atom
**Crystal system**: tetragonal
**Formation energy from the elements**: 0.298 eV per atom
**Size of the total moment**: 0.000 μB/atom

=====

Record 12
Here is crystalline Sr2CuPdI at its relaxed geometry from Alexandria via LeMat-Bulk. Energies are from PBE.

The structure in POSCAR format:
```
Sr2CuPdI
1.0
6.1536 0.0000 0.0000
0.0000 4.8607 0.0000
0.0000 0.0000 6.1536
Sr Cu I Pd
2 1 1 1
direct
0.0000 0.0000 0.5000
0.5000 0.0000 0.0000
0.0000 0.5000 0.0000
0.0000 0.0000 0.0000
0.5000 0.5000 0.5000
```

Computed properties:
**Total DFT energy (no corrections)**: -2.6554 eV/atom
**Crystal system**: tetragonal
**Size of the total moment**: 0.000 μB/atom
**E_form (uncorrected)**: 185 meV per atom

=====

Look up the size of the total moment of the eleventh one. 0.000 μB/atom